A geometry-optimized Li2SN2 structure, computed with GGA-PBE. Values from VASP.

Computed properties:
**Calculated volume**: 94.68 Å³/cell
**Crystal system**: monoclinic
**E_form (uncorrected)**: -0.719 eV per atom

```
&SYSTEM
  ibrav = 0, nat = 5, ntyp = 3
/
ATOMIC_SPECIES
Li 6.94 Li.upf
S 32.06 S.upf
N 14.01 N.upf
CELL_PARAMETERS angstrom
3.423 -1.978 0.000
3.423 1.978 0.000
-1.683 0.000 6.992
ATOMIC_POSITIONS crystal
Li 0.140 0.140 0.389
Li 0.860 0.860 0.611
S 0.500 0.500 0.500
N 0.033 0.033 0.079
N 0.967 0.967 0.921
```